# 1
{"formula": "Ca2AcAg2", "functional": "PBE-GGA", "state": "optimized geometry", "cell": [[5.031, 0.000, 0.000], [0.000, 5.878, -0.565], [0.000, -2.688, 11.342]], "species": ["Ag", "Ag", "Ac", "Ca", "Ca", "Ca", "Ag", "Ca", "Ac", "Ag"], "fractional_positions": [[0.750, 0.655, 0.024], [0.750, 0.134, 0.369], [0.250, 0.799, 0.221], [0.750, 0.700, 0.467], [0.250, 0.300, 0.533], [0.250, 0.775, 0.879], [0.250, 0.345, 0.976], [0.750, 0.225, 0.121], [0.750, 0.201, 0.779], [0.250, 0.866, 0.631]], "relative_energy_mev_per_atom": 12.8, "dft_energy_ev_per_atom": -2.95, "spacegroup": "P2_1/m, No. 11", "formation_enthalpy_0k_mev_per_atom": -190}

=====

# 2
{"formula": "Sm6Sn2Rh", "functional": "PBE-GGA", "state": "optimized geometry", "cell": [[5.309, 0.000, -0.208], [0.000, 7.240, 0.000], [-2.366, -3.620, 7.593]], "species": ["Sn", "Sm", "Sm", "Rh", "Sm", "Sn", "Sm", "Sm", "Sm"], "fractional_positions": [[0.327, 0.328, 0.655], [0.151, 0.396, 0.302], [0.849, 0.604, 0.698], [0.000, 0.000, 0.000], [0.500, 0.771, 0.000], [0.673, 0.672, 0.345], [0.500, 0.229, 0.000], [0.151, 0.906, 0.302], [0.849, 0.094, 0.698]], "dft_energy_ev_per_atom": -5.28, "spacegroup": "Immm, No. 71", "formation_enthalpy_0k_mev_per_atom": -426}

=====

# 3
{"formula": "LiCaAs2Pt2", "functional": "PBE-GGA", "state": "optimized geometry", "cell": [[4.170, 0.000, 0.000], [2.085, 3.612, 0.000], [2.085, 1.204, 9.154]], "species": ["Ca", "Pt", "Pt", "As", "As", "Li"], "fractional_positions": [[0.000, 0.000, 0.000], [0.593, 0.593, 0.222], [0.407, 0.407, 0.778], [0.752, 0.752, 0.745], [0.248, 0.248, 0.255], [0.500, 0.500, 0.500]], "dft_energy_ev_per_atom": -4.86, "spacegroup": "R-3m, No. 166", "formation_enthalpy_0k_mev_per_atom": -640}

=====

# 4
{"formula": "ReTcPt2", "functional": "PBE-GGA", "state": "optimized geometry", "cell": [[-2.400, -3.181, -0.729], [1.962, -1.131, -1.521], [3.936, -3.633, 2.889]], "species": ["Pt", "Tc", "Re", "Pt"], "fractional_positions": [[0.000, 0.501, 0.499], [0.500, 0.750, 0.750], [0.500, 0.250, 0.250], [0.000, 0.999, 0.001]], "relative_energy_mev_per_atom": 106.8, "dft_energy_ev_per_atom": -8.75, "spacegroup": "Pmmm, No. 47", "formation_enthalpy_0k_mev_per_atom": -31}

=====

> Number 4 is which compound?

ReTcPt2